A plane-wave DFT calculation with meta-GGA SCAN was carried out for a crystal of MgMn2O4 relaxed with PBEsol.

Raw formation energy ... -2.38 eV/atom

Unit cell a=5.5855 b=10.6801 c=5.6505 alpha=90.00 beta=118.39 gamma=90.00
With the nearest neighbours (Å) after each atom.
Space group P2_1/c (No. 14)
Symmetry-distinct sites (fractional):
1 Mg 0.1625 0.1147 0.0466 (multiplicity 4)  6 O 2.08-2.20
2 Mn 0.1193 0.6205 0.0034 (multiplicity 4)  4 O 1.89-1.96
3 Mn 0.4323 0.1433 0.5978 (multiplicity 4)  5 O 1.91-2.07
4 O 0.0734 0.2079 0.3430 (multiplicity 4)  2 Mn 1.92-1.96
5 O 0.2278 0.5561 0.7437 (multiplicity 4)  2 Mn 1.91-1.96, 2 Mg 2.08-2.11
6 O 0.2310 0.0514 0.7342 (multiplicity 4)  2 Mn 1.91-1.92, 1 Mg 2.09
7 O 0.4688 0.6937 0.1766 (multiplicity 4)  3 Mn 1.89-2.07, 1 Mg 2.08


A plane-wave DFT calculation with meta-GGA SCAN was carried out for a crystal of MgMn4O8 relaxed with PBEsol.

Raw formation energy ... -2.22 eV/atom

Unit cell a=9.6960 b=5.6252 c=5.2360 alpha=90.00 beta=108.92 gamma=90.00
With the nearest neighbours (Å) after each atom.
Space group C2/m (No. 12)
Symmetry-distinct sites (fractional):
1 Mg 0.0000 0.0000 0.0000 (multiplicity 2)  6 O 2.10-2.12
2 Mn 0.0000 0.2535 0.5000 (multiplicity 4)  6 O 1.88-1.93
3 Mn 0.2463 0.5000 0.4793 (multiplicity 4)  6 O 1.90-1.95
4 O 0.1135 0.0000 0.7158 (multiplicity 4)  3 Mn 1.93-1.95, 1 Mg 2.12
5 O 0.1207 0.5000 0.6913 (multiplicity 4)  3 Mn 1.88-1.90
6 O 0.1290 0.2363 0.2912 (multiplicity 8)  3 Mn 1.91-1.93, 1 Mg 2.10


A plane-wave DFT calculation with meta-GGA SCAN was carried out for a crystal of MgMn2O4 relaxed with PBEsol.

Raw formation energy ... -2.39 eV/atom

Unit cell a=3.0303 b=9.8611 c=9.2320 alpha=90.00 beta=90.00 gamma=90.00
With the nearest neighbours (Å) after each atom.
Space group C222_1 (No. 20)
Symmetry-distinct sites (fractional):
1 Mg 0.0000 0.0950 0.2500 (multiplicity 4)  4 O 2.03-2.07
2 Mn 0.0823 0.3634 0.4295 (multiplicity 8)  4 O 1.92-1.93
3 O 0.0000 0.4577 0.2500 (multiplicity 4)  2 Mn 1.92, 2 Mg 2.03
4 O 0.0148 0.0000 0.0000 (multiplicity 4)  2 Mn 1.93
5 O 0.1571 0.2748 0.6143 (multiplicity 8)  2 Mn 1.92-1.93, 1 Mg 2.07


A plane-wave DFT calculation with meta-GGA SCAN was carried out for a crystal of MgMn2O4 relaxed with PBEsol.

Raw formation energy ... -2.42 eV/atom

Unit cell a=5.6995 b=5.6995 c=9.3915 alpha=90.00 beta=90.00 gamma=90.00
With the nearest neighbours (Å) after each atom.
Space group I4_1/amd (No. 141, origin choice 2)
Symmetry-distinct sites (fractional):
1 Mg 0.0000 0.2500 0.3750 (multiplicity 4)  4 O 1.98
2 Mn 0.0000 0.0000 0.0000 (multiplicity 8)  4 O 1.92
3 O 0.0000 0.0246 0.7543 (multiplicity 16)  2 Mn 1.92, 1 Mg 1.98


- Which value of raw formation energy does entry 4 give?
  -2.42 eV/atom


- Number 2 is which compound?
  MgMn4O8


- raw formation energy of number 2 (MgMn4O8)?
  -2.22 eV/atom


Please write out number 2 again, unchanged.
A plane-wave DFT calculation with meta-GGA SCAN was carried out for a crystal of MgMn4O8 relaxed with PBEsol.

Raw formation energy ... -2.22 eV/atom

Unit cell a=9.6960 b=5.6252 c=5.2360 alpha=90.00 beta=108.92 gamma=90.00
With the nearest neighbours (Å) after each atom.
Space group C2/m (No. 12)
Symmetry-distinct sites (fractional):
1 Mg 0.0000 0.0000 0.0000 (multiplicity 2)  6 O 2.10-2.12
2 Mn 0.0000 0.2535 0.5000 (multiplicity 4)  6 O 1.88-1.93
3 Mn 0.2463 0.5000 0.4793 (multiplicity 4)  6 O 1.90-1.95
4 O 0.1135 0.0000 0.7158 (multiplicity 4)  3 Mn 1.93-1.95, 1 Mg 2.12
5 O 0.1207 0.5000 0.6913 (multiplicity 4)  3 Mn 1.88-1.90
6 O 0.1290 0.2363 0.2912 (multiplicity 8)  3 Mn 1.91-1.93, 1 Mg 2.10